# 1
Entry from the Alexandria database: an optimized crystal structure of GdErSc (GGA-PBE).

Properties
ΔE_f ... 0.08 eV per atom
Offset from the most stable computed form ... 0.81 kcal/mol of atoms
Crystal system ... trigonal
SG ... P3m1

Structure (POSCAR):
```
GdErSc
1.0
3.358 0.000 0.000
0.000 5.463 0.000
0.000 -2.731 4.731
Sc Gd Er
1 1 1
Direct
0.167 0.333 0.667
0.667 0.667 0.333
0.166 0.000 0.000
```


# 2
Entry from the Alexandria database: an optimized crystal structure of Er3Si2Ru2 (GGA-PBE).

Properties
Formation energy from raw total energies ... -768 meV/atom
Crystal system ... orthorhombic
SG ... Pbcm

Structure (POSCAR):
```
Er3Si2Ru2
1.0
-2.566 -4.454 -2.012
6.238 -4.066 1.043
-4.133 -3.182 12.316
Er Si Ru
12 8 8
Direct
0.856 0.100 0.399
0.856 0.400 0.899
0.856 0.100 0.101
0.374 0.241 0.250
0.626 0.741 0.250
0.856 0.400 0.601
0.374 0.259 0.750
0.144 0.900 0.601
0.144 0.600 0.399
0.626 0.759 0.750
0.144 0.600 0.101
0.144 0.900 0.899
0.392 0.250 0.500
0.135 0.892 0.250
0.392 0.250 0.000
0.608 0.750 0.000
0.865 0.108 0.750
0.608 0.750 0.500
0.865 0.392 0.250
0.135 0.608 0.750
0.352 0.970 0.409
0.648 0.470 0.409
0.352 0.530 0.591
0.648 0.030 0.909
0.648 0.030 0.591
0.352 0.970 0.091
0.352 0.530 0.909
0.648 0.470 0.091
```


# 3
Entry from the Alexandria database: an optimized crystal structure of Th2TlCdRu (GGA-PBE).

Properties
ΔE_f ... -0.31 eV per atom
Crystal system ... monoclinic
SG ... P2_1/m

Structure (POSCAR):
```
Th2TlCdRu
1.0
-3.136 -0.068 -2.492
-2.596 -7.315 3.466
-3.405 6.435 4.112
Ru Th Cd Tl
2 4 2 2
Direct
0.750 0.115 0.117
0.250 0.885 0.883
0.250 0.091 0.340
0.750 0.909 0.660
0.750 0.724 0.001
0.250 0.276 0.999
0.250 0.564 0.642
0.750 0.436 0.358
0.750 0.313 0.692
0.250 0.687 0.308
```


no.,DOS(E_F) (states/eV/atom)
1,1.994
2,0.528
3,0.648